# 1
Below is a relaxed structure of HfPd6Au8, with properties calculated at the PBE level.

The space group is P-3 (No. 147) and the conventional cell measures 7.6536, 7.6536 and 5.5916 Å, with angles of 90.00, 90.00 and 120.00 degrees. The distinct sites, in fractional coordinates, are Hf at (0.0000, 0.0000, 0.0000), Pd at (0.0349, 0.6844, 0.8688), Au at (0.0232, 0.6906, 0.3724) and Au at (0.3333, 0.6667, 0.1332).


# 2
Below is a relaxed structure of Hf2Pd4Au, with properties calculated at the PBE level.

The space group is I4/mmm (No. 139) and the conventional cell measures 4.934, 4.934 and 13.154 Å, with angles of 90.00, 90.00 and 90.00 degrees. The distinct sites, in fractional coordinates, are Hf at (0.000, 0.000, 0.111), Pd at (0.000, 0.000, 0.295), Pd at (0.000, 0.500, 0.000) and Au at (0.000, 0.000, 0.500).

For the relative energy among the computed polymorphs, the calculation gives 6.05 eV/f.u.


# 3
Below is a relaxed structure of HfPd3Au3, with properties calculated at the PBE level.

The space group is R-3 (No. 148, hexagonal axes) and the conventional cell measures 7.4994, 7.4994 and 15.7436 Å, with angles of 90.00, 90.00 and 120.00 degrees. The distinct sites, in fractional coordinates, are Hf at (0.0000, 0.0000, 0.1209), Pd at (0.0549, 0.2556, 0.7511) and Au at (0.0388, 0.2396, 0.5787).

For the relative energy among the computed polymorphs, the calculation gives 0.97 eV/f.u.


# 4
Below is a relaxed structure of HfPd8Au2, with properties calculated at the PBE level.

The space group is Cmmm (No. 65) and the conventional cell measures 8.171, 10.833 and 4.307 Å, with angles of 90.00, 90.00 and 90.00 degrees. The distinct sites, in fractional coordinates, are Hf at (0.000, 0.000, 0.000), Pd at (0.000, 0.239, 0.000), Pd at (0.167, 0.131, 0.500), Pd at (0.173, 0.500, 0.000) and Au at (0.000, 0.376, 0.500).

For the relative energy among the computed polymorphs, the calculation gives 0.00 eV/f.u.


# 5
Below is a relaxed structure of HfPdAu3, with properties calculated at the PBE level.

The space group is Pm-3m (No. 221) and the conventional cell measures 4.928, 4.928 and 4.928 Å, with angles of 90.00, 90.00 and 90.00 degrees. The distinct sites, in fractional coordinates, are Hf at (0.000, 0.000, 0.000), Pd at (0.500, 0.500, 0.500) and Au at (0.000, 0.500, 0.500).

For the relative energy among the computed polymorphs, the calculation gives 5.97 eV/f.u.


# 6
Below is a relaxed structure of HfPd7Au4, with properties calculated at the PBE level.

The space group is C2/m (No. 12) and the conventional cell measures 10.463, 4.908 and 9.647 Å, with angles of 90.00, 118.53 and 90.00 degrees. The distinct sites, in fractional coordinates, are Hf at (0.000, 0.000, 0.000), Pd at (0.000, 0.500, 0.000), Pd at (0.062, 0.000, 0.334), Pd at (0.144, 0.500, 0.532), Pd at (0.204, 0.000, 0.930), Au at (0.079, 0.500, 0.769) and Au at (0.244, 0.500, 0.319).

For the relative energy among the computed polymorphs, the calculation gives 3.97 eV/f.u.


# 7
Below is a relaxed structure of Hf6PdAu, with properties calculated at the PBE level.

The space group is R-3 (No. 148, hexagonal axes) and the conventional cell measures 7.6975, 7.6975 and 9.4431 Å, with angles of 90.00, 90.00 and 120.00 degrees. The distinct sites, in fractional coordinates, are Hf at (0.0008, 0.2514, 0.2499), Pd at (0.0000, 0.0000, 0.5000) and Au at (0.0000, 0.0000, 0.0000).


# 8
Below is a relaxed structure of HfPdAu2, with properties calculated at the PBE level.

The space group is I-42d (No. 122) and the conventional cell measures 7.567, 7.567 and 5.457 Å, with angles of 90.00, 90.00 and 90.00 degrees. The distinct sites, in fractional coordinates, are Hf at (0.000, 0.000, 0.000), Pd at (0.000, 0.000, 0.500) and Au at (0.249, 0.750, 0.625).


# 9
Below is a relaxed structure of HfPd2Au8, with properties calculated at the PBE level.

The space group is C2/m (No. 12) and the conventional cell measures 7.879, 12.975 and 5.196 Å, with angles of 90.00, 128.57 and 90.00 degrees. The distinct sites, in fractional coordinates, are Hf at (0.000, 0.000, 0.000), Pd at (0.000, 0.308, 0.500), Au at (0.000, 0.217, 0.000), Au at (0.098, 0.500, 0.829) and Au at (0.208, 0.114, 0.599).


# 10
Below is a relaxed structure of HfPd4Au2, with properties calculated at the PBE level.

The space group is I4/mmm (No. 139) and the conventional cell measures 4.904, 4.904 and 13.104 Å, with angles of 90.00, 90.00 and 90.00 degrees. The distinct sites, in fractional coordinates, are Hf at (0.000, 0.000, 0.000), Pd at (0.000, 0.000, 0.185), Pd at (0.000, 0.500, 0.000) and Au at (0.000, 0.000, 0.391).

For the relative energy among the computed polymorphs, the calculation gives 6.14 eV/f.u.


# 11
Below is a relaxed structure of Hf6Pd8Au, with properties calculated at the PBE level.

The space group is R-3 (No. 148, hexagonal axes) and the conventional cell measures 7.5821, 7.5821 and 17.4810 Å, with angles of 90.00, 90.00 and 120.00 degrees. The distinct sites, in fractional coordinates, are Hf at (0.0064, 0.2811, 0.1072), Pd at (0.0000, 0.0000, 0.2135), Pd at (0.0085, 0.6479, 0.0481) and Au at (0.0000, 0.0000, 0.5000).


# 12
Below is a relaxed structure of Hf2Pd2Au5, with properties calculated at the PBE level.

The space group is Ima2 (No. 46) and the conventional cell measures 16.952, 4.712 and 8.147 Å, with angles of 90.00, 90.00 and 90.00 degrees. The distinct sites, in fractional coordinates, are Hf at (0.000, 0.000, 0.000), Hf at (0.250, 0.006, 0.334), Pd at (0.081, 0.020, 0.667), Au at (0.084, 0.518, 0.834), Au at (0.166, 0.000, 0.001) and Au at (0.250, 0.504, 0.168).


# 13
Below is a relaxed structure of HfPd6Au2, with properties calculated at the PBE level.

The space group is C2/m (No. 12) and the conventional cell measures 8.930, 4.095 and 8.446 Å, with angles of 90.00, 107.86 and 90.00 degrees. The distinct sites, in fractional coordinates, are Hf at (0.000, 0.000, 0.000), Pd at (0.004, 0.000, 0.329), Pd at (0.163, 0.500, 0.553), Pd at (0.163, 0.500, 0.888) and Au at (0.173, 0.500, 0.226).

For the relative energy among the computed polymorphs, the calculation gives 0.00 eV/f.u.


# 14
Below is a relaxed structure of HfPdAu3, with properties calculated at the PBE level.

The space group is P2_1/m (No. 11) and the conventional cell measures 4.613, 5.651 and 7.312 Å, with angles of 90.00, 108.11 and 90.00 degrees. The distinct sites, in fractional coordinates, are Hf at (0.197, 0.250, 0.396), Pd at (0.205, 0.750, 0.404), Au at (0.003, 0.750, 0.006) and Au at (0.388, 0.000, 0.777).

For the relative energy among the computed polymorphs, the calculation gives 0.00 eV/f.u.


# 15
Below is a relaxed structure of Hf4PdAu, with properties calculated at the PBE level.

The space group is P4/mmm (No. 123) and the conventional cell measures 3.267, 3.267 and 11.282 Å, with angles of 90.00, 90.00 and 90.00 degrees. The distinct sites, in fractional coordinates, are Hf at (0.000, 0.000, 0.154), Hf at (0.500, 0.500, 0.333), Pd at (0.500, 0.500, 0.000) and Au at (0.000, 0.000, 0.500).


# 16
Below is a relaxed structure of Hf2Pd3Au, with properties calculated at the PBE level.

The space group is Ibam (No. 72) and the conventional cell measures 6.996, 12.922 and 5.494 Å, with angles of 90.00, 90.00 and 90.00 degrees. The distinct sites, in fractional coordinates, are Hf at (0.171, 0.152, 0.000), Pd at (0.000, 0.000, 0.250), Pd at (0.000, 0.303, 0.250) and Au at (0.000, 0.500, 0.000).


# 17
Below is a relaxed structure of HfPdAu3, with properties calculated at the PBE level.

The space group is P2_1/m (No. 11) and the conventional cell measures 4.931, 5.601 and 6.993 Å, with angles of 90.00, 110.44 and 90.00 degrees. The distinct sites, in fractional coordinates, are Hf at (0.104, 0.250, 0.207), Pd at (0.111, 0.750, 0.225), Au at (0.307, 0.501, 0.614) and Au at (0.499, 0.250, 0.996).

For the relative energy among the computed polymorphs, the calculation gives 0.17 eV/f.u.


# 18
Below is a relaxed structure of HfPdAu2, with properties calculated at the PBE level.

The space group is Pmmn (No. 59, origin choice 2) and the conventional cell measures 4.823, 5.774 and 5.064 Å, with angles of 90.00, 90.00 and 90.00 degrees. The distinct sites, in fractional coordinates, are Hf at (0.250, 0.250, 0.147), Pd at (0.250, 0.750, 0.150) and Au at (0.250, 0.503, 0.660).


# 19
Below is a relaxed structure of Hf2PdAu, with properties calculated at the PBE level.

The space group is P4/mmm (No. 123) and the conventional cell measures 3.296, 3.296 and 6.990 Å, with angles of 90.00, 90.00 and 90.00 degrees. The distinct sites, in fractional coordinates, are Hf at (0.000, 0.000, 0.240), Pd at (0.500, 0.500, 0.000) and Au at (0.500, 0.500, 0.500).


# 20
Below is a relaxed structure of Hf2Pd5Au2, with properties calculated at the PBE level.

The space group is Ima2 (No. 46) and the conventional cell measures 14.052, 7.287 and 6.477 Å, with angles of 90.00, 90.00 and 90.00 degrees. The distinct sites, in fractional coordinates, are Hf at (0.131, 0.033, 0.000), Pd at (0.049, 0.167, 0.331), Pd at (0.146, 0.677, 0.837), Pd at (0.250, 0.171, 0.318), Au at (0.000, 0.000, 0.688) and Au at (0.250, 0.534, 0.170).


| no. | E_form (eV per atom) | E_tot (Ry per atom) |
| --- | --- | --- |
| 1 | -0.130 | -0.339 |
| 2 | 0.341 | -0.436 |
| 3 | -0.267 | -0.391 |
| 4 | -0.201 | -0.403 |
| 5 | 0.812 | -0.307 |
| 6 | -0.011 | -0.365 |
| 7 | -0.272 | -0.647 |
| 8 | -0.138 | -0.409 |
| 9 | -0.082 | -0.317 |
| 10 | 0.372 | -0.364 |
| 11 | -0.507 | -0.550 |
| 12 | -0.402 | -0.411 |
| 13 | -0.422 | -0.420 |
| 14 | -0.381 | -0.395 |
| 15 | -0.479 | -0.627 |
| 16 | -0.314 | -0.498 |
| 17 | -0.347 | -0.393 |
| 18 | -0.621 | -0.444 |
| 19 | -0.525 | -0.560 |
| 20 | -0.346 | -0.454 |